(1)
Entry from the Alexandria database: a relaxed PmHoCuAg crystal (PBE).

* energy of formation: -0.23 eV per atom
* crystal system: cubic
* space group: No. 216
* polymorph energy (0 for the lowest one): 0.117 eV per formula unit

Unit cell a=5.0998 b=5.0998 c=5.0998 alpha=60.00 beta=60.00 gamma=60.00
With the nearest neighbours (Å) after each atom.
Positions (direct):
Pm (0.0000, 0.0000, 0.0000)  4 Cu 3.12, 4 Ag 3.12
Ho (0.5000, 0.5000, 0.5000)  4 Cu 3.12, 4 Ag 3.12
Cu (0.7500, 0.7500, 0.7500)  4 Ho 3.12, 4 Pm 3.12
Ag (0.2500, 0.2500, 0.2500)  4 Ho 3.12, 4 Pm 3.12

=====

(2)
Entry from the Alexandria database: a relaxed SrAcZnSi crystal (PBE).

* crystal system: cubic
* space group: No. 216
* polymorph energy (0 for the lowest one): 0.403 eV per formula unit
* energy relative to the elements, uncorrected: -1.1 eV per formula unit

Unit cell a=5.4560 b=5.4560 c=5.4560 alpha=60.00 beta=60.00 gamma=60.00
With the nearest neighbours (Å) after each atom.
Positions (direct):
Sr (0.0000, 0.0000, 0.0000)  4 Zn 3.34, 4 Si 3.34
Ac (0.5000, 0.5000, 0.5000)  4 Zn 3.34, 4 Si 3.34
Zn (0.7500, 0.7500, 0.7500)  4 Ac 3.34, 4 Sr 3.34
Si (0.2500, 0.2500, 0.2500)  4 Ac 3.34, 4 Sr 3.34

=====

(3)
Entry from the Alexandria database: a relaxed YZrTe crystal (PBE).

* crystal system: cubic
* space group: No. 216
* polymorph energy (0 for the lowest one): 0.895 eV per formula unit
* energy relative to the elements, uncorrected: -1.0 eV per formula unit

Unit cell a=4.9043 b=4.9043 c=4.9043 alpha=60.00 beta=60.00 gamma=60.00
With the nearest neighbours (Å) after each atom.
Positions (direct):
Y (0.0000, 0.0000, 0.0000)  4 Te 3.00
Zr (0.5000, 0.5000, 0.5000)  4 Te 3.00
Te (0.7500, 0.7500, 0.7500)  4 Zr 3.00, 4 Y 3.00

=====

(4)
Entry from the Alexandria database: a relaxed NaCdRe3 crystal (PBE).

* energy of formation: 3.12 eV per atom
* crystal system: cubic
* space group: No. 221
* polymorph energy (0 for the lowest one): 0.493 eV per formula unit

Unit cell a=4.8994 b=4.8994 c=4.8994 alpha=90.00 beta=90.00 gamma=90.00
With the nearest neighbours (Å) after each atom.
Positions (direct):
Na (0.0000, 0.0000, 0.0000)  12 Re 3.46
Cd (0.5000, 0.5000, 0.5000)  6 Re 2.45
Re (0.0000, 0.5000, 0.5000)  2 Cd 2.45
Re (0.5000, 0.0000, 0.5000)  2 Cd 2.45
Re (0.5000, 0.5000, 0.0000)  2 Cd 2.45

=====

(5)
Entry from the Alexandria database: a relaxed Cu2S2O7 crystal (PBE).

* crystal system: monoclinic
* space group: No. 15
* energy relative to the elements, uncorrected: -10.3 eV per formula unit

Unit cell a=5.8233 b=5.8233 c=10.6768 alpha=101.65 beta=101.65 gamma=102.06
With the nearest neighbours (Å) after each atom.
Positions (direct):
Cu (0.1593, 0.2156, 0.0230)  2 O 1.88-1.89
Cu (0.2156, 0.1593, 0.5230)  2 O 1.88-1.89
Cu (0.7844, 0.8407, 0.4770)  2 O 1.88-1.89
Cu (0.8407, 0.7844, 0.9770)  2 O 1.88-1.89
S (0.0352, 0.3914, 0.2948)  3 O 1.44-1.47
S (0.3914, 0.0352, 0.7948)  3 O 1.44-1.47
S (0.6086, 0.9648, 0.2052)  3 O 1.44-1.47
S (0.9648, 0.6086, 0.7052)  3 O 1.44-1.47
O (0.0508, 0.6220, 0.3807)  1 S 1.44
O (0.0992, 0.4102, 0.1704)  1 S 1.47
O (0.1531, 0.2252, 0.3549)  1 S 1.47
O (0.2252, 0.1531, 0.8549)  1 S 1.47
O (0.2622, 0.7378, 0.7500)  2 S 1.66
O (0.3780, 0.9492, 0.1193)  1 S 1.44
O (0.4102, 0.0992, 0.6704)  1 S 1.47
O (0.5898, 0.9008, 0.3296)  1 S 1.47
O (0.6220, 0.0508, 0.8807)  1 S 1.44
O (0.7378, 0.2622, 0.2500)  2 S 1.66
O (0.7748, 0.8469, 0.1451)  1 S 1.47
O (0.8469, 0.7748, 0.6451)  1 S 1.47
O (0.9008, 0.5898, 0.8296)  1 S 1.47
O (0.9492, 0.3780, 0.6193)  1 S 1.44

=====

(6)
Entry from the Alexandria database: a relaxed NaBPb crystal (PBE).

* energy of formation: 0.74 eV per atom
* crystal system: orthorhombic
* space group: No. 63

Unit cell a=7.0286 b=7.0286 c=4.7708 alpha=90.00 beta=90.00 gamma=146.75
With the nearest neighbours (Å) after each atom.
Positions (direct):
Na (0.0943, 0.9057, 0.7500)  2 B 2.82
Na (0.9057, 0.0943, 0.2500)  2 B 2.82
B (0.2586, 0.7414, 0.2500)  4 Pb 2.49-2.69
B (0.7414, 0.2586, 0.7500)  4 Pb 2.49-2.69
Pb (0.3508, 0.6492, 0.7500)  4 B 2.49-2.69
Pb (0.6492, 0.3508, 0.2500)  4 B 2.49-2.69

=====

(7)
Entry from the Alexandria database: a relaxed Y6Ho8Th crystal (PBE).

* energy of formation: 0.12 eV per atom
* crystal system: trigonal
* space group: No. 148

Unit cell a=8.6076 b=8.6076 c=8.6076 alpha=63.21 beta=63.21 gamma=63.21
With the nearest neighbours (Å) after each atom.
Positions (direct):
Y (0.0378, 0.6041, 0.7329)  4 Ho 3.37-3.70, 1 Th 3.44, 4 Y 3.48-3.75
Y (0.2671, 0.9622, 0.3959)  4 Ho 3.37-3.70, 1 Th 3.44, 4 Y 3.48-3.75
Y (0.3959, 0.2671, 0.9622)  4 Ho 3.37-3.70, 1 Th 3.44, 4 Y 3.48-3.75
Y (0.6041, 0.7329, 0.0378)  4 Ho 3.37-3.70, 1 Th 3.44, 4 Y 3.48-3.75
Y (0.7329, 0.0378, 0.6041)  4 Ho 3.37-3.70, 1 Th 3.44, 4 Y 3.48-3.75
Y (0.9622, 0.3959, 0.2671)  4 Ho 3.37-3.70, 1 Th 3.44, 4 Y 3.48-3.75
Ho (0.0767, 0.0767, 0.0767)  4 Ho 3.15-3.40, 3 Y 3.37
Ho (0.2183, 0.6119, 0.2510)  3 Y 3.37-3.70, 5 Ho 3.40-3.43, 1 Th 3.48
Ho (0.2510, 0.2183, 0.6119)  3 Y 3.37-3.70, 5 Ho 3.40-3.43, 1 Th 3.48
Ho (0.3881, 0.7490, 0.7817)  3 Y 3.37-3.70, 5 Ho 3.40-3.43, 1 Th 3.48
Ho (0.6119, 0.2510, 0.2183)  3 Y 3.37-3.70, 5 Ho 3.40-3.43, 1 Th 3.48
Ho (0.7490, 0.7817, 0.3881)  3 Y 3.37-3.70, 5 Ho 3.40-3.43, 1 Th 3.48
Ho (0.7817, 0.3881, 0.7490)  3 Y 3.37-3.70, 5 Ho 3.40-3.43, 1 Th 3.48
Ho (0.9233, 0.9233, 0.9233)  4 Ho 3.15-3.40, 3 Y 3.37
Th (0.5000, 0.5000, 0.5000)  6 Y 3.44, 6 Ho 3.48

=====

(8)
Entry from the Alexandria database: a relaxed LaFeOs3 crystal (PBE).

* energy of formation: 3.35 eV per atom
* crystal system: cubic
* space group: No. 221
* polymorph energy (0 for the lowest one): 12.073 eV per formula unit

Unit cell a=4.7888 b=4.7888 c=4.7888 alpha=90.00 beta=90.00 gamma=90.00
With the nearest neighbours (Å) after each atom.
Positions (direct):
La (0.0000, 0.0000, 0.0000)  6 Os 2.39
Fe (0.5000, 0.5000, 0.5000)  12 Os 3.39
Os (0.0000, 0.0000, 0.5000)  2 La 2.39
Os (0.0000, 0.5000, 0.0000)  2 La 2.39
Os (0.5000, 0.0000, 0.0000)  2 La 2.39

=====

(9)
Entry from the Alexandria database: a relaxed Cs4Np3PbSe8 crystal (PBE).

* crystal system: trigonal
* space group: No. 166
* energy relative to the elements, uncorrected: -18.5 eV per formula unit

Unit cell a=9.7334 b=9.7334 c=9.7334 alpha=53.56 beta=53.56 gamma=53.56
With the nearest neighbours (Å) after each atom.
Positions (direct):
Cs (0.0000, 0.0000, 0.0000)  6 Se 3.54
Cs (0.0000, 0.5000, 0.5000)  6 Se 3.65-3.69
Cs (0.5000, 0.0000, 0.5000)  6 Se 3.65-3.69
Cs (0.5000, 0.5000, 0.0000)  6 Se 3.65-3.69
Np (0.0000, 0.0000, 0.5000)  6 Se 2.91-2.95
Np (0.0000, 0.5000, 0.0000)  6 Se 2.91-2.95
Np (0.5000, 0.0000, 0.0000)  6 Se 2.91-2.95
Pb (0.5000, 0.5000, 0.5000)  6 Se 3.09
Se (0.2095, 0.7383, 0.7383)  2 Np 2.91, 1 Pb 3.09
Se (0.2278, 0.2278, 0.2278)  3 Np 2.95
Se (0.2617, 0.2617, 0.7905)  2 Np 2.91, 1 Pb 3.09
Se (0.2617, 0.7905, 0.2617)  2 Np 2.91, 1 Pb 3.09
Se (0.7383, 0.2095, 0.7383)  2 Np 2.91, 1 Pb 3.09
Se (0.7383, 0.7383, 0.2095)  2 Np 2.91, 1 Pb 3.09
Se (0.7722, 0.7722, 0.7722)  3 Np 2.95
Se (0.7905, 0.2617, 0.2617)  2 Np 2.91, 1 Pb 3.09

=====

(10)
Entry from the Alexandria database: a relaxed AcInH6Rh3 crystal (PBE).

* crystal system: trigonal
* space group: No. 146

Unit cell a=5.1279 b=5.1279 c=5.1279 alpha=92.31 beta=92.31 gamma=92.31
With the nearest neighbours (Å) after each atom.
Positions (direct):
Ac (0.0000, 0.0000, 0.0000)  12 H 2.67-2.91
In (0.5884, 0.5884, 0.5884)  6 Rh 2.75, 3 H 2.91
H (0.0915, 0.4979, 0.2244)  2 Rh 1.73-1.77, 1 H 1.81
H (0.1164, 0.4890, 0.8728)  2 Rh 1.75-1.76, 1 H 1.81
H (0.2244, 0.0915, 0.4979)  2 Rh 1.73-1.77, 1 H 1.81
H (0.4890, 0.8728, 0.1164)  2 Rh 1.75-1.76, 1 H 1.81
H (0.4979, 0.2244, 0.0915)  2 Rh 1.73-1.77, 1 H 1.81
H (0.8728, 0.1164, 0.4890)  2 Rh 1.75-1.76, 1 H 1.81
Rh (0.0796, 0.3974, 0.5414)  4 H 1.73-1.77
Rh (0.3974, 0.5414, 0.0796)  4 H 1.73-1.77
Rh (0.5414, 0.0796, 0.3974)  4 H 1.73-1.77

=====

(11)
Entry from the Alexandria database: a relaxed BeCO crystal (PBE).

* crystal system: tetragonal
* space group: No. 107
* polymorph energy (0 for the lowest one): 5.132 eV per formula unit
* energy relative to the elements, uncorrected: 0.1 eV per formula unit

Unit cell a=4.0781 b=4.0781 c=4.0781 alpha=145.21 beta=145.21 gamma=50.02
With the nearest neighbours (Å) after each atom.
Positions (direct):
Be (0.0000, 0.0000, 0.0000)  1 C 1.65
C (0.2226, 0.2226, 0.0000)  1 O 1.38
O (0.4091, 0.4091, 0.0000)  1 C 1.38

=====

| no. | total magnetization (μB per formula unit) | electronic total energy (eV per atom) |
| --- | --- | --- |
| 1 | 0.000 | -4.297 |
| 2 | 0.000 | -3.398 |
| 3 | 0.000 | -6.375 |
| 4 | 0.000 | -4.799 |
| 5 | 0.000 | -5.590 |
| 6 | 0.000 | -3.158 |
| 7 | 0.000 | -5.402 |
| 8 | 0.915 | -6.071 |
| 9 | 11.000 | -5.770 |
| 10 | 0.000 | -4.735 |
| 11 | 0.000 | -5.943 |